The following is a DFT calculation (PBE) of a relaxed Ac2Se3 crystal.

Total energy (eV for the cell shown): -115.496
Symmetry: Pnma (62)

Lattice parameters (Å, degrees): 4.443 11.716 12.071 90.00 90.00 90.00
Positions (direct):
Ac1 0.750 0.007 0.191
Ac2 0.750 0.813 0.508
Ac3 0.750 0.493 0.691
Ac4 0.250 0.993 0.809
Ac5 0.250 0.313 0.992
Ac6 0.250 0.507 0.309
Ac7 0.250 0.187 0.492
Ac8 0.750 0.687 0.008
Se1 0.250 0.299 0.730
Se2 0.750 0.374 0.453
Se3 0.750 0.701 0.270
Se4 0.250 0.944 0.379
Se5 0.250 0.626 0.547
Se6 0.750 0.799 0.770
Se7 0.250 0.556 0.879
Se8 0.750 0.126 0.953
Se9 0.750 0.056 0.621
Se10 0.250 0.874 0.047
Se11 0.750 0.444 0.121
Se12 0.250 0.201 0.230